Here is an optimized crystal structure of RbTh2Cl8 from the Alexandria database. Energies are from PBE.

Computed properties:
DOS at the Fermi energy = 0.799 states/eV per atom
calculated density = 4.426 Mg/m³
uncorrected formation energy = -22.5 eV per formula unit

a b c (Å): 8.7637 13.0420 5.5518
angles (deg): 90.00 99.88 90.00
Last column: nearest neighbours and their distance in Å.
Space group C2/m (No. 12)
Unique sites:
Rb 0.0000 0.0000 0.0000 x2  12 Cl 3.43-3.77
Th 0.0000 0.3200 0.5000 x4  8 Cl 2.86-2.89
Cl 0.0000 0.2632 0.0000 x4  2 Th 2.87
Cl 0.0996 0.5000 0.7774 x4  2 Th 2.86
Cl 0.1905 0.1376 0.5701 x8  2 Th 2.86-2.89